Run a
DFT (PBE) results for a relaxed HoB2O4 crystal.

Cell: 5.1476 5.1476 5.1476 Å, 98.91 98.91 133.66°
Positions (direct):
Ho (0.5000, 0.5000, 0.0000)
B (0.2500, 0.7500, 0.5000)
B (0.7500, 0.2500, 0.5000)
O (0.4979, 0.1626, 0.6605)
O (0.8374, 0.4979, 0.3353)
O (0.1626, 0.5021, 0.6647)
O (0.5021, 0.8374, 0.3395)

Summary:
Mass density (g cm⁻³): 4.6

=====

Run b
DFT (PBE) results for a relaxed HoB2O4 crystal.

Cell: 2.7584 2.7584 10.6033 Å, 82.53 82.53 60.00°
Positions (direct):
B (0.7621, 0.7621, 0.7138)
B (0.2379, 0.2379, 0.2862)
Ho (0.0000, 0.0000, 0.0000)
O (0.7183, 0.7183, 0.8452)
O (0.8881, 0.8881, 0.3357)
O (0.2817, 0.2817, 0.1548)
O (0.1119, 0.1119, 0.6643)

Summary:
Mass density (g cm⁻³): 6.0

=====

Least stable = run b

=====

Run a
DFT (PBE) results for a relaxed HoBOs crystal.

Cell: 4.2533 3.6587 3.6587 Å, 120.00 90.00 90.00°
Positions (direct):
B (0.1669, 0.6667, 0.3333)
Os (0.1667, 0.0000, 0.0000)
Ho (0.6665, 0.3333, 0.6667)

Summary:
Mass density (g cm⁻³): 12.3

=====

Run b
DFT (PBE) results for a relaxed HoBOs crystal.

Cell: 3.8177 3.8177 7.4354 Å, 104.88 104.88 90.00°
Positions (direct):
B (0.0909, 0.0909, 0.1817)
B (0.9091, 0.9091, 0.8183)
Ho (0.3422, 0.3422, 0.6844)
Ho (0.6578, 0.6578, 0.3156)
Os (0.5000, 0.0000, 0.0000)
Os (0.0000, 0.5000, 0.0000)

Summary:
Mass density (g cm⁻³): 12.0

=====

Run c
DFT (PBE) results for a relaxed HoBOs crystal.

Cell: 3.1855 5.8276 4.9690 Å, 99.81 90.00 90.00°
Positions (direct):
Ho (0.2500, 0.2617, 0.0579)
Ho (0.7500, 0.7383, 0.9421)
B (0.2500, 0.4684, 0.5927)
B (0.7500, 0.5316, 0.4073)
Os (0.2500, 0.8016, 0.4463)
Os (0.7500, 0.1984, 0.5537)

Summary:
Mass density (g cm⁻³): 13.4

=====

Run d
DFT (PBE) results for a relaxed HoBOs crystal.

Cell: 3.0100 3.0100 5.3843 Å, 106.23 106.23 90.00°
Positions (direct):
B (0.7103, 0.7103, 0.4205)
Os (0.2850, 0.2850, 0.5701)
Ho (0.0047, 0.0047, 0.0094)

Summary:
Mass density (g cm⁻³): 13.6

=====

Least stable = run d

=====

Run a
DFT (PBE) results for a relaxed HoPaB4 crystal.

Cell: 4.7674 4.7674 4.7674 Å, 60.00 60.00 60.00°
Positions (direct):
B (0.5928, 0.5928, 0.2216)
B (0.5928, 0.2216, 0.5928)
B (0.5928, 0.5928, 0.5928)
B (0.2216, 0.5928, 0.5928)
Pa (0.2500, 0.2500, 0.2500)
Ho (0.0000, 0.0000, 0.0000)

Summary:
Mass density (g cm⁻³): 9.5

=====

Run b
DFT (PBE) results for a relaxed HoPaB4 crystal.

Cell: 3.6070 3.6070 6.2770 Å, 106.70 106.70 90.00°
Positions (direct):
Ho (0.2500, 0.7500, 0.5000)
Pa (0.0000, 0.0000, 0.0000)
B (0.6713, 0.1713, 0.3426)
B (0.5791, 0.5791, 0.1582)
B (0.8287, 0.3287, 0.6574)
B (0.4209, 0.4209, 0.8418)

Summary:
Mass density (g cm⁻³): 9.8

=====

Least stable = run a

=====

Run a
DFT (PBE) results for a relaxed Ho2ReB6 crystal.

Cell: 3.4285 5.3858 6.6799 Å, 113.77 104.87 90.00°
Site moments in Bohr magnetons follow the coordinates.
Positions (direct):
Ho (0.8376, 0.8376, 0.6753)  0.01
Ho (0.1624, 0.1624, 0.3247)  0.01
Re (0.0000, 0.5000, 0.0000)  0.46
B (0.6198, 0.7698, 0.2396)  0.00
B (0.3802, 0.2302, 0.7604)  0.00
B (0.3802, 0.5301, 0.7604)  0.00
B (0.5000, 0.1654, 0.0000)  0.00
B (0.5000, 0.8346, 0.0000)  0.00
B (0.6198, 0.4699, 0.2396)  0.00

Summary:
Mass density (g cm⁻³): 8.9

=====

Run b
DFT (PBE) results for a relaxed Ho2ReB6 crystal.

Cell: 3.6691 9.1590 11.5418 Å, 90.00 90.00 90.00°
Positions (direct):
Ho (0.0000, 0.3233, 0.4142)
Ho (0.0000, 0.6767, 0.5858)
Ho (0.0000, 0.8233, 0.0858)
Ho (0.0000, 0.1767, 0.9142)
Ho (0.0000, 0.9426, 0.3702)
Ho (0.0000, 0.0574, 0.6298)
Ho (0.0000, 0.4426, 0.1298)
Ho (0.0000, 0.5574, 0.8702)
Re (0.0000, 0.6378, 0.3209)
Re (0.0000, 0.3622, 0.6791)
Re (0.0000, 0.1378, 0.1791)
Re (0.0000, 0.8622, 0.8209)
B (0.5000, 0.5530, 0.4330)
B (0.5000, 0.4470, 0.5670)
B (0.5000, 0.0530, 0.0670)
B (0.5000, 0.9470, 0.9330)
B (0.5000, 0.7490, 0.4188)
B (0.5000, 0.2510, 0.5812)
B (0.5000, 0.2490, 0.0812)
B (0.5000, 0.7510, 0.9188)
B (0.5000, 0.7916, 0.2653)
B (0.5000, 0.2084, 0.7347)
B (0.5000, 0.2916, 0.2347)
B (0.5000, 0.7084, 0.7653)
B (0.5000, 0.6304, 0.1856)
B (0.5000, 0.3696, 0.8144)
B (0.5000, 0.1304, 0.3144)
B (0.5000, 0.8696, 0.6856)
B (0.5000, 0.9817, 0.2118)
B (0.5000, 0.0183, 0.7882)
B (0.5000, 0.4817, 0.2882)
B (0.5000, 0.5183, 0.7118)
B (0.5000, 0.5998, 0.0280)
B (0.5000, 0.4002, 0.9720)
B (0.5000, 0.0998, 0.4720)
B (0.5000, 0.9002, 0.5280)

Summary:
Mass density (g cm⁻³): 9.9

=====

Least stable = run a

=====

Run a
DFT (PBE) results for a relaxed HoBRh crystal.

Cell: 4.0839 3.7086 3.7086 Å, 120.00 90.00 90.00°
Positions (direct):
B (0.1667, 0.6667, 0.3333)
Rh (0.1667, 0.0000, 0.0000)
Ho (0.6666, 0.3333, 0.6667)

Summary:
Mass density (g cm⁻³): 9.5

=====

Run b
DFT (PBE) results for a relaxed HoBRh crystal.

Cell: 3.6400 4.3327 6.1291 Å, 90.00 90.00 90.00°
Positions (direct):
Rh (0.5000, 0.5000, 0.1715)
Rh (0.0000, 0.0000, 0.8285)
Ho (0.5000, 0.5000, 0.6800)
Ho (0.0000, 0.0000, 0.3200)
B (0.0000, 0.5000, 0.9953)
B (0.5000, 0.0000, 0.0047)

Summary:
Mass density (g cm⁻³): 9.6

=====

Least stable = run b

=====

Run a
DFT (PBE) results for a relaxed HoB2Rh4 crystal.

Cell: 5.4667 4.2106 5.4667 Å, 112.64 119.94 67.36°
Positions (direct):
Ho (0.0000, 0.0000, 0.0000)
B (0.5001, 0.7882, 0.4999)
B (0.4999, 0.2118, 0.5001)
Rh (0.5838, 0.6595, 0.9028)
Rh (0.4162, 0.3405, 0.0972)
Rh (0.9028, 0.3405, 0.5838)
Rh (0.0972, 0.6595, 0.4162)

Summary:
Mass density (g cm⁻³): 10.2

=====

Run b
DFT (PBE) results for a relaxed HoB2Rh4 crystal.

Cell: 5.5421 5.5422 8.0022 Å, 98.24 98.21 125.74°
Positions (direct):
B (0.7423, 0.0433, 0.5000)
B (0.5425, 0.2431, 0.5001)
B (0.2934, 0.4924, 0.0000)
B (0.4932, 0.2926, 0.0000)
Rh (0.6984, 0.6988, 0.6105)
Rh (0.2713, 0.2709, 0.7570)
Rh (0.0869, 0.0872, 0.3895)
Rh (0.5210, 0.0214, 0.2570)
Rh (0.7645, 0.2648, 0.7430)
Rh (0.5147, 0.5144, 0.2430)
Rh (0.9488, 0.4486, 0.1105)
Rh (0.3373, 0.8369, 0.8895)
Ho (0.1428, 0.6429, 0.5000)
Ho (0.8929, 0.8928, 0.0000)

Summary:
Mass density (g cm⁻³): 10.5

=====

Least stable = run a

=====

Run a
DFT (PBE) results for a relaxed HoB3Ru3 crystal.

Cell: 5.8036 5.8036 5.8036 Å, 90.00 90.00 90.00°
Positions (direct):
Ru (0.0000, 0.2500, 0.5000)
Ru (0.0000, 0.7500, 0.5000)
Ru (0.5000, 0.0000, 0.7500)
Ru (0.7500, 0.5000, 0.0000)
Ru (0.5000, 0.0000, 0.2500)
Ru (0.2500, 0.5000, 0.0000)
B (0.2500, 0.0000, 0.5000)
B (0.0000, 0.5000, 0.2500)
B (0.5000, 0.7500, 0.0000)
B (0.7500, 0.0000, 0.5000)
B (0.0000, 0.5000, 0.7500)
B (0.5000, 0.2500, 0.0000)
Ho (0.5000, 0.5000, 0.5000)
Ho (0.0000, 0.0000, 0.0000)

Summary:
Mass density (g cm⁻³): 8.5

=====

Run b
DFT (PBE) results for a relaxed HoB3Ru3 crystal.

Cell: 7.1584 7.1584 7.1584 Å, 89.05 90.94 90.95°
Positions (direct):
Ho (0.0444, 0.4901, 0.9883)
Ho (0.9083, 0.0917, 0.5917)
Ho (0.5099, 0.4883, 0.4556)
Ho (0.5117, 0.9556, 0.9901)
B (0.7020, 0.4486, 0.1527)
B (0.0196, 0.9571, 0.2777)
B (0.0429, 0.7777, 0.4804)
B (0.8700, 0.4102, 0.3182)
B (0.2223, 0.9804, 0.4571)
B (0.1818, 0.1301, 0.9103)
B (0.8438, 0.1351, 0.9319)
B (0.5514, 0.6527, 0.7980)
B (0.3473, 0.2980, 0.9486)
B (0.5680, 0.1562, 0.6351)
B (0.8649, 0.4320, 0.6562)
B (0.5898, 0.8182, 0.6301)
Ru (0.7935, 0.1526, 0.2076)
Ru (0.0106, 0.9161, 0.9807)
Ru (0.8180, 0.7184, 0.2842)
Ru (0.2444, 0.7556, 0.2556)
Ru (0.2158, 0.1820, 0.2184)
Ru (0.2816, 0.7842, 0.6820)
Ru (0.0839, 0.4806, 0.4894)
Ru (0.2923, 0.2065, 0.6526)
Ru (0.6645, 0.3355, 0.8355)
Ru (0.8473, 0.7076, 0.7066)
Ru (0.5194, 0.9894, 0.4161)
Ru (0.4506, 0.5494, 0.0495)

Summary:
Mass density (g cm⁻³): 9.1

=====

Least stable = run b

=====

Run a
DFT (PBE) results for a relaxed HoB4Ru4 crystal.

Cell: 4.0580 7.4327 7.4327 Å, 90.00 90.00 90.00°
Positions (direct):
Ho (0.0000, 0.0000, 0.0000)
Ho (0.5000, 0.5000, 0.5000)
B (0.6126, 0.8318, 0.2938)
B (0.6126, 0.1682, 0.7062)
B (0.1126, 0.7938, 0.6682)
B (0.8874, 0.3318, 0.7938)
B (0.8874, 0.6682, 0.2062)
B (0.3874, 0.2938, 0.1682)
B (0.3874, 0.7062, 0.8318)
B (0.1126, 0.2062, 0.3318)
Ru (0.3870, 0.3563, 0.8889)
Ru (0.8870, 0.6111, 0.8563)
Ru (0.3870, 0.6437, 0.1111)
Ru (0.1130, 0.1437, 0.6111)
Ru (0.6130, 0.8889, 0.6437)
Ru (0.1130, 0.8563, 0.3889)
Ru (0.8870, 0.3889, 0.1437)
Ru (0.6130, 0.1111, 0.3563)

Summary:
Mass density (g cm⁻³): 9.1

=====

Run b
DFT (PBE) results for a relaxed HoB4Ru4 crystal.

Cell: 5.3667 5.3667 7.3446 Å, 90.00 90.00 90.00°
Positions (direct):
Ho (0.0000, 0.0000, 0.0000)
Ho (0.5000, 0.5000, 0.5000)
B (0.5000, 0.8281, 0.8496)
B (0.5000, 0.1719, 0.8496)
B (0.8281, 0.5000, 0.1504)
B (0.1719, 0.5000, 0.1504)
B (0.3281, 0.0000, 0.3496)
B (0.6719, 0.0000, 0.3496)
B (0.0000, 0.3281, 0.6504)
B (0.0000, 0.6719, 0.6504)
Ru (0.2549, 0.5000, 0.8606)
Ru (0.7451, 0.5000, 0.8606)
Ru (0.5000, 0.7451, 0.1394)
Ru (0.5000, 0.2549, 0.1394)
Ru (0.0000, 0.7549, 0.3606)
Ru (0.0000, 0.2451, 0.3606)
Ru (0.2451, 0.0000, 0.6394)
Ru (0.7549, 0.0000, 0.6394)

Summary:
Mass density (g cm⁻³): 9.6

=====

Least stable = run b

=====

Run a
DFT (PBE) results for a relaxed HoB2Ru crystal.

Cell: 5.3082 5.8979 6.3525 Å, 90.00 90.00 90.00°
Positions (direct):
Ho (0.2500, 0.5109, 0.8365)
Ho (0.2500, 0.0109, 0.6635)
Ho (0.7500, 0.4891, 0.1635)
Ho (0.7500, 0.9891, 0.3365)
B (0.0846, 0.8689, 0.0377)
B (0.4154, 0.3689, 0.4623)
B (0.5846, 0.1311, 0.9623)
B (0.9154, 0.6311, 0.5377)
B (0.9154, 0.1311, 0.9623)
B (0.5846, 0.6311, 0.5377)
B (0.4154, 0.8689, 0.0377)
B (0.0846, 0.3689, 0.4623)
Ru (0.2500, 0.6827, 0.3184)
Ru (0.2500, 0.1827, 0.1816)
Ru (0.7500, 0.3173, 0.6816)
Ru (0.7500, 0.8173, 0.8184)

Summary:
Mass density (g cm⁻³): 9.6

=====

Run b
DFT (PBE) results for a relaxed HoB2Ru crystal.

Cell: 3.8738 3.5882 5.0444 Å, 70.83 67.42 57.33°
Positions (direct):
Ho (0.5000, 0.0000, 0.0000)
B (0.6753, 0.2516, 0.3979)
B (0.3247, 0.7484, 0.6021)
Ru (0.0000, 0.5000, 0.5000)

Summary:
Mass density (g cm⁻³): 8.9

=====

Least stable = run b